[1]
NaSrPdF6 | PBE | optimized geometry

abc: 5.2160 5.6570 5.6570
angles: 120.00 90.00 90.00
Last column: nearest neighbours and their distance in Å.
Fractional coordinates of all 9 atoms:
Pd (0.5000, 0.0000, 0.0000)  6 F 2.06
F (0.2765, 0.3027, 0.2998)  1 Pd 2.06, 1 Na 2.29
Sr (0.0000, 0.3333, 0.6667)  6 F 2.46
F (0.2765, 0.7002, 0.0028)  1 Pd 2.06, 1 Na 2.29
F (0.7235, 0.3027, 0.0028)  1 Pd 2.06, 1 Na 2.29
F (0.2765, 0.9972, 0.6973)  1 Pd 2.06, 1 Na 2.29
F (0.7235, 0.9972, 0.2998)  1 Pd 2.06, 1 Na 2.29
F (0.7235, 0.7002, 0.6973)  1 Pd 2.06, 1 Na 2.29
Na (0.5000, 0.6667, 0.3333)  6 F 2.29

Values from the calculation:
uncorrected formation energy = -2.483 eV/atom
total magnetic moment = 1.0 μB/f.u.

***

[2]
AlVGa2 | PBE | optimized geometry

abc: 7.0947 7.0947 5.6709
angles: 51.28 51.28 90.00
Last column: nearest neighbours and their distance in Å.
Fractional coordinates of all 8 atoms:
Al (0.2500, 0.7500, 0.5000)  4 Ga 2.59, 2 V 2.64
V (0.7500, 0.2500, 0.5000)  4 Ga 2.59, 2 Al 2.64
Ga (0.6252, 0.1250, 0.2500)  2 V 2.59, 2 Al 2.59, 2 Ga 2.64
Ga (0.1248, 0.6250, 0.2500)  2 V 2.59, 2 Al 2.59, 2 Ga 2.64
Ga (0.8750, 0.8752, 0.7500)  2 V 2.59, 2 Al 2.59, 2 Ga 2.64
V (0.0000, 0.0000, 0.0000)  4 Ga 2.59, 2 Al 2.64
Al (0.5000, 0.5000, 0.0000)  4 Ga 2.59, 2 V 2.64
Ga (0.3750, 0.3748, 0.7500)  2 V 2.59, 2 Al 2.59, 2 Ga 2.64

Values from the calculation:
total magnetic moment = 0.0 μB/f.u.
DFT formation energy = 0.2733 eV/atom

***

[3]
BaLi2RhF8 | PBE | optimized geometry

abc: 4.9933 4.9933 8.1004
angles: 72.05 72.05 60.00
Last column: nearest neighbours and their distance in Å.
Fractional coordinates of all 12 atoms:
F (0.7245, 0.0802, 0.8466)  1 Li 1.88, 1 Rh 1.95
F (0.3487, 0.7245, 0.8466)  1 Li 1.88, 1 Rh 1.95
F (0.0802, 0.3487, 0.8466)  1 Li 1.88, 1 Rh 1.95
F (0.6513, 0.2755, 0.1534)  1 Li 1.88, 1 Rh 1.95
F (0.2755, 0.9198, 0.1534)  1 Li 1.88, 1 Rh 1.95
Li (0.2619, 0.2619, 0.2144)  4 F 1.80-1.88
Li (0.7381, 0.7381, 0.7856)  4 F 1.80-1.88
F (0.8174, 0.8174, 0.5479)  1 Li 1.80
F (0.1826, 0.1826, 0.4521)  1 Li 1.80
F (0.9198, 0.6513, 0.1534)  1 Li 1.88, 1 Rh 1.95
Ba (0.5000, 0.5000, 0.5000)  12 F 2.91-3.08
Rh (0.0000, 0.0000, 0.0000)  6 F 1.95

Values from the calculation:
uncorrected formation energy = -2.555 eV/atom
total magnetic moment = 1.0 μB/f.u.

***

Density of states at the Fermi level values, unit states/eV per atom, following the record order: 0.73 0.82 0.75.